Entry 1:
La2Tb6CeNd3: optimized geometry, PBE. Values from VASP.

The structure in Quantum ESPRESSO input format:
```
&SYSTEM
  ibrav = 0, nat = 12, ntyp = 4
/
ATOMIC_SPECIES
La 138.91 La.upf
Tb 158.93 Tb.upf
Ce 140.12 Ce.upf
Nd 144.24 Nd.upf
CELL_PARAMETERS angstrom
3.145 -5.451 0.000
3.145 5.451 0.000
-2.095 0.000 11.701
ATOMIC_POSITIONS crystal
La 0.166 0.834 0.000
La 0.834 0.166 0.000
Tb 0.087 0.417 0.750
Tb 0.253 0.253 0.250
Tb 0.417 0.087 0.750
Tb 0.583 0.913 0.250
Tb 0.747 0.747 0.750
Tb 0.913 0.583 0.250
Ce 0.500 0.500 0.000
Nd 0.000 0.000 0.500
Nd 0.333 0.667 0.500
Nd 0.667 0.333 0.500
```

Computed properties:
ρ: 7.5 Mg/m³
size of the total moment: 1.09 μB/f.u.
total DFT energy (no corrections): -4.79 eV/atom

Entry 2:
LaTbCeNd: optimized geometry, PBE. Values from VASP.

The structure in Quantum ESPRESSO input format:
```
&SYSTEM
  ibrav = 0, nat = 4, ntyp = 4
/
ATOMIC_SPECIES
La 138.91 La.upf
Tb 158.93 Tb.upf
Ce 140.12 Ce.upf
Nd 144.24 Nd.upf
CELL_PARAMETERS angstrom
0.000 4.096 4.096
4.096 0.000 4.096
4.096 4.096 0.000
ATOMIC_POSITIONS crystal
La 0.000 0.000 0.000
Tb 0.750 0.750 0.750
Ce 0.500 0.500 0.500
Nd 0.250 0.250 0.250
```

Computed properties:
ρ: 7.0 Mg/m³
size of the total moment: 1.26 μB/f.u.
total DFT energy (no corrections): -4.87 eV/atom

Entry 3:
LaCeNdTc: optimized geometry, PBE. Values from VASP.

The structure in Quantum ESPRESSO input format:
```
&SYSTEM
  ibrav = 0, nat = 4, ntyp = 4
/
ATOMIC_SPECIES
La 138.91 La.upf
Ce 140.12 Ce.upf
Nd 144.24 Nd.upf
Tc 98.00 Tc.upf
CELL_PARAMETERS angstrom
3.844 -2.227 0.000
3.844 2.227 0.000
-2.564 0.000 7.018
ATOMIC_POSITIONS crystal
La 0.000 0.000 0.000
Ce 0.560 0.560 0.683
Nd 0.788 0.788 0.366
Tc 0.214 0.214 0.642
```

Computed properties:
ρ: 7.2 Mg/m³
size of the total moment: 0.00 μB/f.u.
total DFT energy (no corrections): -6.40 eV/atom

Among the records above, which one has the highest size of the total moment?
LaTbCeNd